1.
Below is an optimized crystal structure of Pm5DySc, with properties calculated at the PBE level.

Properties
The crystal system is monoclinic. For the energy relative to the elements, the calculation gives 0.8614 eV per atom.

Cell and atoms, written as CIF:
```
data_Pm5DySc
_cell_length_a 11.657
_cell_length_b 8.753
_cell_length_c 5.828
_cell_angle_alpha 90.00
_cell_angle_beta 90.86
_cell_angle_gamma 90.00
_symmetry_space_group_name_H-M 'C 1 2/m 1'
_symmetry_Int_Tables_number 12
loop_
_symmetry_equiv_pos_as_xyz
'x,y,z'
'-x,-y,-z'
'-x,y,-z'
'x,-y,z'
'x+1/2,y+1/2,z'
'-x+1/2,-y+1/2,-z'
'-x+1/2,y+1/2,-z'
'x+1/2,-y+1/2,z'
loop_
_atom_site_label
_atom_site_type_symbol
_atom_site_fract_x
_atom_site_fract_y
_atom_site_fract_z
Pm1 Pm 0.000 0.000 0.000
Pm2 Pm 0.000 0.310 0.500
Pm3 Pm 0.249 0.000 0.512
Dy1 Dy 0.000 0.500 0.000
Sc1 Sc 0.000 0.000 0.500
```


2.
Below is an optimized crystal structure of PrNd2Sc, with properties calculated at the PBE level.

Properties
The crystal system is trigonal. For the energy relative to the elements, the calculation gives 0.0618 eV per atom. As for the energy relative to the lowest polymorph listed for this composition: 24 meV/atom.

Cell and atoms, written as CIF:
```
data_PrNd2Sc
_cell_length_a 3.5975
_cell_length_b 3.5975
_cell_length_c 34.9787
_cell_angle_alpha 90.00
_cell_angle_beta 90.00
_cell_angle_gamma 120.00
_symmetry_space_group_name_H-M 'R 3 m'
_symmetry_Int_Tables_number 160
_symmetry_space_group_name_Hall 'R 3 -2"'
loop_
_atom_site_label
_atom_site_type_symbol
_atom_site_fract_x
_atom_site_fract_y
_atom_site_fract_z
Pr1 Pr 0.0000 0.0000 0.0000
Nd1 Nd 0.0000 0.0000 0.5792
Nd2 Nd 0.0000 0.0000 0.7558
Sc1 Sc 0.0000 0.0000 0.1674
```


3.
Below is an optimized crystal structure of AcSn4Au2, with properties calculated at the PBE level.

Properties
The crystal system is orthorhombic. For the energy relative to the elements, the calculation gives -0.3763 eV per atom. As for the energy relative to the lowest polymorph listed for this composition: 0 meV/atom.

Cell and atoms, written as CIF:
```
data_AcSn4Au2
_cell_length_a 22.673
_cell_length_b 4.623
_cell_length_c 7.125
_cell_angle_alpha 90.00
_cell_angle_beta 90.00
_cell_angle_gamma 90.00
_symmetry_space_group_name_H-M 'P n m a'
_symmetry_Int_Tables_number 62
loop_
_symmetry_equiv_pos_as_xyz
'x,y,z'
'-x,-y,-z'
'-x+1/2,-y,z+1/2'
'x+1/2,y,-z+1/2'
'x+1/2,-y+1/2,-z+1/2'
'-x+1/2,y+1/2,z+1/2'
'-x,y+1/2,-z'
'x,-y+1/2,z'
loop_
_atom_site_label
_atom_site_type_symbol
_atom_site_fract_x
_atom_site_fract_y
_atom_site_fract_z
Ac1 Ac 0.130 0.250 0.007
Sn1 Sn 0.027 0.750 0.850
Sn2 Sn 0.068 0.250 0.505
Sn3 Sn 0.182 0.750 0.313
Sn4 Sn 0.210 0.750 0.757
Au1 Au 0.043 0.750 0.265
Au2 Au 0.193 0.250 0.543
```


4.
Below is an optimized crystal structure of Pt2SeBr, with properties calculated at the PBE level.

Properties
The crystal system is tetragonal. Its formation energy from raw total energies is 0.148 eV/atom. As for the energy relative to the lowest polymorph listed for this composition: 359 meV/atom.

Cell and atoms, written as CIF:
```
data_Pt2SeBr
_cell_length_a 3.437
_cell_length_b 3.437
_cell_length_c 7.369
_cell_angle_alpha 90.00
_cell_angle_beta 90.00
_cell_angle_gamma 90.00
_symmetry_space_group_name_H-M 'P 4 m m'
_symmetry_Int_Tables_number 99
loop_
_symmetry_equiv_pos_as_xyz
'x,y,z'
'-y,x,z'
'-x,-y,z'
'y,-x,z'
'-x,y,z'
'y,x,z'
'x,-y,z'
'-y,-x,z'
loop_
_atom_site_label
_atom_site_type_symbol
_atom_site_fract_x
_atom_site_fract_y
_atom_site_fract_z
Pt1 Pt 0.000 0.000 0.000
Pt2 Pt 0.500 0.500 0.205
Se1 Se 0.000 0.000 0.331
Br1 Br 0.500 0.500 0.772
```


5.
Below is an optimized crystal structure of K2CoPbCl, with properties calculated at the PBE level.

Properties
The crystal system is tetragonal. Its formation energy from raw total energies is 0.216 eV/atom.

Cell and atoms, written as CIF:
```
data_K2CoPbCl
_cell_length_a 5.716
_cell_length_b 5.716
_cell_length_c 5.853
_cell_angle_alpha 90.00
_cell_angle_beta 90.00
_cell_angle_gamma 90.00
_symmetry_space_group_name_H-M 'P 4/m m m'
_symmetry_Int_Tables_number 123
_symmetry_space_group_name_Hall '-P 4 2'
loop_
_atom_site_label
_atom_site_type_symbol
_atom_site_fract_x
_atom_site_fract_y
_atom_site_fract_z
K1 K 0.000 0.500 0.000
Co1 Co 0.000 0.000 0.500
Pb1 Pb 0.500 0.500 0.500
Cl1 Cl 0.500 0.500 0.000
```


6.
Below is an optimized crystal structure of Ba3GeSe, with properties calculated at the PBE level.

Properties
The crystal system is cubic. Its formation energy from raw total energies is -0.706 eV/atom. As for the energy relative to the lowest polymorph listed for this composition: 0 meV/atom.

Cell and atoms, written as CIF:
```
data_Ba3GeSe
_cell_length_a 6.172
_cell_length_b 6.172
_cell_length_c 6.172
_cell_angle_alpha 90.00
_cell_angle_beta 90.00
_cell_angle_gamma 90.00
_symmetry_space_group_name_H-M 'P m -3 m'
_symmetry_Int_Tables_number 221
_symmetry_space_group_name_Hall '-P 4 2 3'
loop_
_atom_site_label
_atom_site_type_symbol
_atom_site_fract_x
_atom_site_fract_y
_atom_site_fract_z
Ba1 Ba 0.000 0.000 0.500
Ge1 Ge 0.500 0.500 0.500
Se1 Se 0.000 0.000 0.000
```


Copy entry 6 word for word.
Below is an optimized crystal structure of Ba3GeSe, with properties calculated at the PBE level.

Properties
The crystal system is cubic. Its formation energy from raw total energies is -0.706 eV/atom. As for the energy relative to the lowest polymorph listed for this composition: 0 meV/atom.

Cell and atoms, written as CIF:
```
data_Ba3GeSe
_cell_length_a 6.172
_cell_length_b 6.172
_cell_length_c 6.172
_cell_angle_alpha 90.00
_cell_angle_beta 90.00
_cell_angle_gamma 90.00
_symmetry_space_group_name_H-M 'P m -3 m'
_symmetry_Int_Tables_number 221
_symmetry_space_group_name_Hall '-P 4 2 3'
loop_
_atom_site_label
_atom_site_type_symbol
_atom_site_fract_x
_atom_site_fract_y
_atom_site_fract_z
Ba1 Ba 0.000 0.000 0.500
Ge1 Ge 0.500 0.500 0.500
Se1 Se 0.000 0.000 0.000
```